1.
Crystalline CuSbP4 at its relaxed geometry. Source: Alexandria, functional PBE-GGA.

Calculated values
- Final energy: -4.280 eV/atom
- E_form (uncorrected): 0.70 eV/atom

The structure in extended XYZ format:
```
6
Lattice="0.000 3.771 3.771 3.771 0.000 3.771 3.771 3.771 0.000" Properties=species:S:1:pos:R:3 pbc="T T T"
Cu 0.000 0.000 0.000
Sb 1.885 1.885 1.885
P 4.829 2.712 2.712
P 2.712 4.829 2.712
P 2.712 2.712 4.829
P 4.829 4.829 4.829
```

***

2.
Crystalline MnAgBr2 at its relaxed geometry. Source: Alexandria, functional PBE-GGA.

Calculated values
- Final energy: -3.821 eV/atom
- E_form (uncorrected): 0.02 eV/atom

The structure in extended XYZ format:
```
8
Lattice="7.794 0.000 0.000 0.000 7.826 0.000 -0.548 0.000 3.585" Properties=species:S:1:pos:R:3 pbc="T T T"
Mn 0.000 0.000 0.000
Mn 3.897 3.913 0.000
Ag 0.000 3.913 0.000
Ag 3.897 0.000 0.000
Br 1.949 1.956 0.000
Br 1.949 5.869 0.000
Br 5.846 1.956 0.000
Br 5.846 5.869 0.000
```

***

3.
Crystalline KHg2SeO4 at its relaxed geometry. Source: Alexandria, functional PBE-GGA.

Calculated values
- Final energy: -3.692 eV/atom
- E_form (uncorrected): -0.56 eV/atom

The structure in extended XYZ format:
```
16
Lattice="4.369 -5.687 0.000 4.369 5.687 0.000 -4.313 0.000 5.750" Properties=species:S:1:pos:R:3 pbc="T T T"
K 2.184 2.844 0.000
K 0.028 -2.844 2.875
Hg 0.000 0.000 0.000
Hg -2.156 0.000 2.875
Hg 0.028 2.844 2.875
Hg 2.184 -2.844 0.000
Se 4.369 0.000 0.000
Se 2.213 0.000 2.875
O -1.678 0.365 4.838
O 0.478 -0.365 1.963
O 1.892 2.004 2.758
O 4.689 2.004 0.116
O -0.264 -2.004 5.633
O 2.533 -2.004 2.991
O 3.947 0.365 3.787
O 6.103 -0.365 0.912
```

***

4.
Crystalline HoTmTlRu at its relaxed geometry. Source: Alexandria, functional PBE-GGA.

Calculated values
- Final energy: -5.445 eV/atom
- Energy relative to the elements: -272.3 meV/atom

The structure in extended XYZ format:
```
16
Lattice="7.123 0.000 0.000 0.000 7.123 0.000 0.000 0.000 7.123" Properties=species:S:1:pos:R:3 pbc="T T T"
Ho 0.000 0.000 0.000
Ho 0.000 3.562 3.562
Ho 3.562 0.000 3.562
Ho 3.562 3.562 0.000
Tm 0.000 0.000 3.562
Tm 0.000 3.562 0.000
Tm 3.562 0.000 0.000
Tm 3.562 3.562 3.562
Tl 1.781 1.781 5.343
Tl 1.781 5.343 1.781
Tl 5.343 1.781 1.781
Tl 5.343 5.343 5.343
Ru 1.781 1.781 1.781
Ru 1.781 5.343 5.343
Ru 5.343 1.781 5.343
Ru 5.343 5.343 1.781
```

***

5.
Crystalline PrEr2Ni at its relaxed geometry. Source: Alexandria, functional PBE-GGA.

Calculated values
- Final energy: -5.124 eV/atom
- Energy relative to the elements: -202.4 meV/atom

The structure in extended XYZ format:
```
16
Lattice="4.797 0.000 0.000 0.000 11.969 0.000 0.000 0.000 7.290" Properties=species:S:1:pos:R:3 pbc="T T T"
Pr 0.000 0.467 1.822
Pr 0.000 11.502 5.467
Pr 2.398 5.517 5.467
Pr 2.398 6.452 1.822
Er 0.000 4.126 0.216
Er 0.000 4.126 3.429
Er 0.000 7.844 3.861
Er 0.000 7.844 7.074
Er 2.398 1.859 3.861
Er 2.398 1.859 7.074
Er 2.398 10.110 0.216
Er 2.398 10.110 3.429
Ni 0.000 2.334 5.467
Ni 0.000 9.636 1.822
Ni 2.398 3.651 1.822
Ni 2.398 8.318 5.467
```

***

6.
Crystalline HoGa3Ru at its relaxed geometry. Source: Alexandria, functional PBE-GGA.

Calculated values
- Final energy: -5.173 eV/atom
- Energy relative to the elements: -586.2 meV/atom

The structure in extended XYZ format:
```
15
Lattice="6.415 0.000 0.000 0.000 6.415 0.000 0.000 0.000 6.415" Properties=species:S:1:pos:R:3 pbc="T T T"
Ho 0.000 0.000 3.208
Ho 0.000 3.208 0.000
Ho 3.208 0.000 0.000
Ga 0.000 0.000 0.000
Ga 1.848 1.848 1.848
Ga 1.848 1.848 4.568
Ga 1.848 4.568 1.848
Ga 1.848 4.568 4.568
Ga 4.568 1.848 1.848
Ga 4.568 1.848 4.568
Ga 4.568 4.568 1.848
Ga 4.568 4.568 4.568
Ru 0.000 3.208 3.208
Ru 3.208 0.000 3.208
Ru 3.208 3.208 0.000
```